{"formula": "HoCd2Cu2", "functional": "PBE", "state": "relaxed", "formation_energy_ev_per_fu": -0.8, "space_group": "C2/m, No. 12", "cell": [[-1.5902, 1.1673, -3.2998], [-2.6826, -4.4854, -0.2939], [-2.3614, 2.5206, 4.2692]], "species": ["Ho", "Cd", "Cd", "Cu", "Cu"], "fractional_positions": [[0.0000, 0.0000, 0.0000], [0.3580, 0.4328, 0.7159], [0.6420, 0.5672, 0.2841], [0.7158, 0.1118, 0.4316], [0.2842, 0.8882, 0.5684]]}

{"formula": "NdGa3CoOs", "functional": "PBE", "state": "relaxed", "formation_energy_ev_per_fu": -1.1, "space_group": "Cmcm, No. 63", "cell": [[5.8041, 0.0000, 0.0000], [0.0000, 7.6632, 0.0000], [0.0000, -3.8316, 5.2495]], "species": ["Nd", "Nd", "Ga", "Ga", "Ga", "Ga", "Ga", "Ga", "Co", "Co", "Os", "Os"], "fractional_positions": [[0.7500, 0.2739, 0.5478], [0.2500, 0.7261, 0.4522], [0.2500, 0.2076, 0.4151], [0.0000, 0.2464, 0.0000], [0.5000, 0.7536, 0.0000], [0.5000, 0.2464, 0.0000], [0.0000, 0.7536, 0.0000], [0.7500, 0.7924, 0.5849], [0.2500, 0.9945, 0.9890], [0.7500, 0.0055, 0.0110], [0.2500, 0.4342, 0.8683], [0.7500, 0.5658, 0.1317]]}

{"formula": "Ca2TaGa", "functional": "PBE", "state": "relaxed", "formation_energy_ev_per_fu": 2.8, "space_group": "I-42d, No. 122", "cell": [[-8.0094, -1.4267, -1.8294], [0.1503, -6.8806, 4.7082], [-4.7362, -2.5894, 3.7512]], "species": ["Ca", "Ca", "Ca", "Ca", "Ga", "Ga", "Ta", "Ta"], "fractional_positions": [[0.5965, 0.1250, 0.2500], [0.1535, 0.6250, 0.2500], [0.3750, 0.4035, 0.7500], [0.8750, 0.8465, 0.7500], [0.5000, 0.5000, 0.0000], [0.2500, 0.7500, 0.5000], [0.0000, 0.0000, 0.0000], [0.7500, 0.2500, 0.5000]]}

{"formula": "MgTlTe2", "functional": "PBE", "state": "relaxed", "space_group": "Cm, No. 8", "raw_formation_energy_ev_per_atom": -0.44, "cell": [[-1.1804, -1.9534, -3.5819], [2.9329, -1.3509, -2.7590], [0.8677, -8.0843, 1.5823]], "species": ["Mg", "Tl", "Te", "Te"], "fractional_positions": [[0.6673, 0.6673, 0.9992], [0.4996, 0.4996, 0.5000], [0.0701, 0.0701, 0.7901], [0.2630, 0.2630, 0.2108]]}

{"formula": "VZnBi2", "functional": "PBE", "state": "relaxed", "formation_energy_ev_per_fu": 2.7, "space_group": "R-3m, No. 166", "cell": [[-0.8542, 1.9419, 2.7843], [-3.3590, 0.7313, 0.6598], [-2.1146, -7.3775, 6.6971]], "species": ["Zn", "Bi", "Bi", "V"], "fractional_positions": [[0.5000, 0.5000, 0.5000], [0.0944, 0.0944, 0.7168], [0.9056, 0.9056, 0.2832], [0.0000, 0.0000, 0.0000]]}

{"formula": "H12WC2S4N2", "functional": "PBE", "state": "relaxed", "space_group": "Pnma, No. 62", "e_tot_ev_per_atom": -5.33, "cell": [[7.2366, 0.0000, 0.0000], [0.0000, 9.7974, 0.0000], [0.0000, 0.0000, 16.2850]], "species": ["H", "H", "H", "H", "H", "H", "H", "H", "H", "H", "H", "H", "H", "H", "H", "H", "H", "H", "H", "H", "H", "H", "H", "H", "H", "H", "H", "H", "H", "H", "H", "H", "H", "H", "H", "H", "H", "H", "H", "H", "H", "H", "H", "H", "H", "H", "H", "H", "W", "W", "W", "W", "C", "C", "C", "C", "C", "C", "C", "C", "S", "S", "S", "S", "S", "S", "S", "S", "S", "S", "S", "S", "S", "S", "S", "S", "N", "N", "N", "N", "N", "N", "N", "N"], "fractional_positions": [[0.6350, 0.6254, 0.8863], [0.8650, 0.1254, 0.6137], [0.1350, 0.3746, 0.1137], [0.3650, 0.8746, 0.3863], [0.3650, 0.3746, 0.1137], [0.1350, 0.8746, 0.3863], [0.8650, 0.6254, 0.8863], [0.6350, 0.1254, 0.6137], [0.7500, 0.4753, 0.9012], [0.7500, 0.9753, 0.5988], [0.2500, 0.5247, 0.0988], [0.2500, 0.0247, 0.4012], [0.6265, 0.4836, 0.7632], [0.8735, 0.9836, 0.7368], [0.1265, 0.5164, 0.2368], [0.3735, 0.0164, 0.2632], [0.3735, 0.5164, 0.2368], [0.1265, 0.0164, 0.2632], [0.8735, 0.4836, 0.7632], [0.6265, 0.9836, 0.7368], [0.7500, 0.6395, 0.7465], [0.7500, 0.1395, 0.7535], [0.2500, 0.3605, 0.2535], [0.2500, 0.8605, 0.2465], [0.6346, 0.8539, 0.0503], [0.8654, 0.3539, 0.4497], [0.1346, 0.1461, 0.9497], [0.3654, 0.6461, 0.5503], [0.3654, 0.1461, 0.9497], [0.1346, 0.6461, 0.5503], [0.8654, 0.8539, 0.0503], [0.6346, 0.3539, 0.4497], [0.7500, 0.7102, 0.0709], [0.7500, 0.2102, 0.4291], [0.2500, 0.2898, 0.9291], [0.2500, 0.7898, 0.5709], [0.8738, 0.8010, 0.1971], [0.6262, 0.3010, 0.3029], [0.3738, 0.1990, 0.8029], [0.1262, 0.6990, 0.6971], [0.1262, 0.1990, 0.8029], [0.3738, 0.6990, 0.6971], [0.6262, 0.8010, 0.1971], [0.8738, 0.3010, 0.3029], [0.7500, 0.9571, 0.1779], [0.7500, 0.4571, 0.3221], [0.2500, 0.0429, 0.8221], [0.2500, 0.5429, 0.6779], [0.7500, 0.2613, 0.0491], [0.7500, 0.7613, 0.4509], [0.2500, 0.7387, 0.9509], [0.2500, 0.2387, 0.5491], [0.7500, 0.5421, 0.7794], [0.7500, 0.0421, 0.7206], [0.2500, 0.4579, 0.2206], [0.2500, 0.9579, 0.2794], [0.7500, 0.8462, 0.1697], [0.7500, 0.3462, 0.3303], [0.2500, 0.1538, 0.8303], [0.2500, 0.6538, 0.6697], [0.7500, 0.4760, 0.0905], [0.7500, 0.9760, 0.4095], [0.2500, 0.5240, 0.9095], [0.2500, 0.0240, 0.5905], [0.7500, 0.2491, 0.9135], [0.7500, 0.7491, 0.5865], [0.2500, 0.7509, 0.0865], [0.2500, 0.2509, 0.4135], [0.5032, 0.1548, 0.0966], [0.9968, 0.6548, 0.4034], [0.0032, 0.8452, 0.9034], [0.4968, 0.3452, 0.5966], [0.4968, 0.8452, 0.9034], [0.0032, 0.3452, 0.5966], [0.9968, 0.1548, 0.0966], [0.5032, 0.6548, 0.4034], [0.7500, 0.5682, 0.8693], [0.7500, 0.0682, 0.6307], [0.2500, 0.4318, 0.1307], [0.2500, 0.9318, 0.3693], [0.7500, 0.8154, 0.0802], [0.7500, 0.3154, 0.4198], [0.2500, 0.1846, 0.9198], [0.2500, 0.6846, 0.5802]]}

{"formula": "AlSiAs2Se", "functional": "PBE", "state": "relaxed", "space_group": "P4/mmm, No. 123", "raw_formation_energy_ev_per_atom": 0.53, "polymorph_energy_kj_per_mol_fu": 0, "cell": [[4.7824, 0.0000, 0.0000], [0.0000, 4.7824, 0.0000], [0.0000, 0.0000, 4.8858]], "species": ["As", "As", "Si", "Se", "Al"], "fractional_positions": [[0.0000, 0.5000, 0.0000], [0.5000, 0.0000, 0.0000], [0.0000, 0.0000, 0.0000], [0.0000, 0.0000, 0.5000], [0.5000, 0.5000, 0.5000]]}

{"formula": "LaOsW2", "functional": "PBE", "state": "relaxed", "formation_energy_ev_per_fu": 2.6, "space_group": "Fm-3m, No. 225", "polymorph_energy_kj_per_mol_fu": 100, "cell": [[-0.0008, -4.6557, 0.0201], [-2.5367, -2.3139, 3.1443], [-3.8009, -2.3330, -1.3365]], "species": ["Os", "W", "W", "La"], "fractional_positions": [[0.5000, 0.5000, 0.5000], [0.2500, 0.2500, 0.2500], [0.7500, 0.7500, 0.7500], [0.0000, 0.0000, 0.0000]]}

{"formula": "Pu3Bi2H2", "functional": "PBE", "state": "relaxed", "space_group": "C2/m, No. 12", "polymorph_energy_kj_per_mol_fu": 101, "cell": [[4.1575, 0.0000, -1.6232], [-0.2568, 6.4154, -0.6578], [0.1067, -0.0517, 6.4092]], "species": ["Pu", "Pu", "Pu", "Bi", "Bi", "H", "H"], "fractional_positions": [[0.0000, 0.5000, 0.0000], [0.6999, 0.2950, 0.3999], [0.3001, 0.7050, 0.6001], [0.3938, 0.1976, 0.7876], [0.6062, 0.8024, 0.2124], [0.1744, 0.4035, 0.3487], [0.8256, 0.5965, 0.6513]]}

{"formula": "La2Tb3SmEr6", "functional": "PBE", "state": "relaxed", "formation_energy_ev_per_fu": 0.3, "space_group": "C2/m, No. 12", "cell": [[6.1965, 0.0002, 0.0052], [-3.0965, 5.3673, 0.0052], [-1.0398, -1.8004, 11.5773]], "species": ["La", "La", "Tb", "Tb", "Tb", "Sm", "Er", "Er", "Er", "Er", "Er", "Er"], "fractional_positions": [[0.3333, 0.6667, 0.0000], [0.6667, 0.3333, 0.0000], [0.1665, 0.8335, 0.5000], [0.8335, 0.1665, 0.5000], [0.5000, 0.5000, 0.5000], [0.0000, 0.0000, 0.0000], [0.9149, 0.5822, 0.7458], [0.7525, 0.7525, 0.2542], [0.0851, 0.4178, 0.2542], [0.5822, 0.9149, 0.7458], [0.2475, 0.2475, 0.7458], [0.4178, 0.0851, 0.2542]]}

{"formula": "ScWCl3", "functional": "PBE", "state": "relaxed", "space_group": "Pm-3m, No. 221", "raw_formation_energy_ev_per_atom": -0.01, "polymorph_energy_kj_per_mol_fu": 0, "cell": [[5.0560, 0.0000, 0.0000], [0.0000, 5.0560, 0.0000], [0.0000, 0.0000, 5.0560]], "species": ["Sc", "W", "Cl", "Cl", "Cl"], "fractional_positions": [[0.0000, 0.0000, 0.0000], [0.5000, 0.5000, 0.5000], [0.0000, 0.5000, 0.0000], [0.0000, 0.0000, 0.5000], [0.5000, 0.0000, 0.0000]]}